# 1
! PBE Zn2CuSi, relaxed; values from VASP
! space group = Pmmm, No. 47
! M_tot = 0.00 μB per atom
! formation energy without anion corrections = 62 kJ/mol of formula units
&SYSTEM
  ibrav = 0, nat = 4, ntyp = 3
/
ATOMIC_SPECIES
Zn 65.41 Zn.upf
Cu 63.55 Cu.upf
Si 28.09 Si.upf
ATOMIC_POSITIONS crystal
Zn 0.000 0.000 0.000
Zn 0.500 0.500 0.000
Cu 0.500 0.000 0.500
Si 0.000 0.500 0.500
CELL_PARAMETERS angstrom
-1.147 0.943 2.104
2.583 -2.537 2.544
3.486 3.764 0.214

=====

# 2
! PBE CaTeRh2Se, relaxed; values from VASP
! space group = P4/mmm, No. 123
! M_tot = 0.00 μB per atom
! formation energy without anion corrections = 30 kJ/mol of formula units
&SYSTEM
  ibrav = 0, nat = 5, ntyp = 4
/
ATOMIC_SPECIES
Ca 40.08 Ca.upf
Se 78.96 Se.upf
Te 127.60 Te.upf
Rh 102.91 Rh.upf
ATOMIC_POSITIONS crystal
Ca 0.500 0.500 0.500
Se 0.000 0.500 0.000
Te 0.000 0.000 0.000
Rh 0.000 0.000 0.500
Rh 0.500 0.000 0.000
CELL_PARAMETERS angstrom
-3.452 -3.043 -1.395
2.159 -4.024 3.433
-2.811 1.547 3.581

=====

# 3
! PBE La3PmS6, relaxed; values from VASP
! space group = P2_1/m, No. 11
! M_tot = 0.00 μB per atom
! formation energy without anion corrections = -2046 kJ/mol of formula units
! excess energy over the best structure of this formula in the dataset = 23 meV/atom
&SYSTEM
  ibrav = 0, nat = 20, ntyp = 3
/
ATOMIC_SPECIES
S 32.06 S.upf
La 138.91 La.upf
Pm 145.00 Pm.upf
ATOMIC_POSITIONS crystal
S 0.750 0.818 0.753
S 0.250 0.084 0.900
S 0.250 0.894 0.541
S 0.250 0.249 0.718
S 0.250 0.182 0.247
S 0.250 0.526 0.391
S 0.250 0.594 0.932
S 0.750 0.916 0.100
S 0.750 0.406 0.068
S 0.750 0.474 0.609
S 0.750 0.751 0.282
S 0.750 0.106 0.459
La 0.250 0.316 0.492
La 0.750 0.684 0.508
La 0.250 0.573 0.171
La 0.250 0.838 0.918
La 0.750 0.162 0.082
La 0.750 0.427 0.829
Pm 0.250 0.956 0.315
Pm 0.750 0.044 0.685
CELL_PARAMETERS angstrom
4.178 0.000 0.000
0.000 11.432 0.170
0.000 -3.657 11.212